w) A relaxed structure of RbIn2Bi3, computed with GGA-PBE.

Calculated volume, Å³/atom: 35.2

Unit cell a=4.7415 b=10.1016 c=10.0995 alpha=65.49 beta=76.42 gamma=76.43
With the nearest neighbours (Å) after each atom.
Element x y z (fractional)
Rb: 0.8524 0.1477 0.1476  6 Bi 3.70-3.86, 6 In 3.73-3.96
Rb: 0.1476 0.8523 0.8524  6 Bi 3.70-3.86, 6 In 3.73-3.96
In: 0.5000 0.1437 0.8562  4 Bi 3.01-3.31, 1 In 3.14
In: 0.5000 0.8563 0.1438  4 Bi 3.01-3.31, 1 In 3.14
In: 0.8418 0.6582 0.6583  6 Bi 3.29-3.45
In: 0.1582 0.3418 0.3417  6 Bi 3.29-3.45
Bi: 0.3165 0.4569 0.9102  2 Bi 3.25, 3 In 3.31-3.45
Bi: 0.0000 0.3129 0.6871  4 In 3.01-3.29
Bi: 0.6836 0.0898 0.5431  2 Bi 3.25, 3 In 3.31-3.45
Bi: 0.3164 0.9102 0.4569  2 Bi 3.25, 3 In 3.31-3.45
Bi: 0.0000 0.6871 0.3129  4 In 3.01-3.29
Bi: 0.6835 0.5431 0.0898  2 Bi 3.25, 3 In 3.31-3.45

=====

x) A relaxed structure of RbIn2Bi3, computed with GGA-PBE.

Calculated volume, Å³/atom: 39.2

Unit cell a=7.5799 b=8.3657 c=8.3657 alpha=117.44 beta=90.00 gamma=90.00
With the nearest neighbours (Å) after each atom.
Element x y z (fractional)
Rb: 0.7500 0.3461 0.6539  4 In 3.96, 8 Bi 4.02-4.36
Rb: 0.2500 0.6539 0.3461  4 In 3.96, 8 Bi 4.02-4.36
In: 0.0000 0.8096 0.8096  4 Bi 3.05-3.12, 1 In 3.31
In: 0.5000 0.8096 0.8096  4 Bi 3.05-3.12, 1 In 3.31
In: 0.0000 0.1904 0.1904  4 Bi 3.05-3.12, 1 In 3.31
In: 0.5000 0.1904 0.1904  4 Bi 3.05-3.12, 1 In 3.31
Bi: 0.2500 0.1293 0.8707  4 In 3.12
Bi: 0.2500 0.5290 0.8214  1 Bi 3.04, 2 In 3.05
Bi: 0.7500 0.8214 0.5290  1 Bi 3.04, 2 In 3.05
Bi: 0.2500 0.1786 0.4710  1 Bi 3.04, 2 In 3.05
Bi: 0.7500 0.4710 0.1786  1 Bi 3.04, 2 In 3.05
Bi: 0.7500 0.8707 0.1293  4 In 3.12

=====

Relative to the most stable structure, the computed energies are w) 3.8; x) 0.0, all in kJ/mol of atoms.

=====

w) A relaxed structure of Rb3In4Bi2, computed with GGA-PBE.

Calculated volume, Å³/atom: 40.4

Unit cell a=5.6308 b=7.5131 c=9.9425 alpha=71.44 beta=73.67 gamma=67.94
With the nearest neighbours (Å) after each atom.
Element x y z (fractional)
Rb: 0.6246 0.1185 0.6325  3 In 3.69-3.83, 2 Bi 3.79-4.03
Rb: 0.0000 0.0000 0.0000  6 In 3.72-4.08, 2 Bi 3.82
Rb: 0.3754 0.8815 0.3675  3 In 3.69-3.83, 2 Bi 3.79-4.03
In: 0.3088 0.3209 0.0609  3 Bi 3.10-3.33, 1 In 3.30
In: 0.9304 0.4802 0.6578  2 In 2.96-3.30, 2 Bi 3.24
In: 0.0696 0.5198 0.3422  2 In 2.96-3.30, 2 Bi 3.24
In: 0.6912 0.6791 0.9391  3 Bi 3.10-3.33, 1 In 3.30
Bi: 0.6957 0.3740 0.2348  5 In 3.10-3.33
Bi: 0.3043 0.6260 0.7652  5 In 3.10-3.33

=====

x) A relaxed structure of Rb3In4Bi2, computed with GGA-PBE.

Calculated volume, Å³/atom: 42.6

Unit cell a=5.0512 b=7.7017 c=12.7308 alpha=55.00 beta=78.56 gamma=70.86
With the nearest neighbours (Å) after each atom.
Element x y z (fractional)
Rb: 0.3240 0.6881 0.6640  5 In 3.84-4.25, 3 Bi 3.88-3.96
Rb: 0.0000 0.0000 0.0000  8 In 3.80-4.17
Rb: 0.6760 0.3119 0.3360  5 In 3.84-4.25, 3 Bi 3.88-3.96
In: 0.2838 0.3933 0.0391  2 In 2.84, 1 Bi 2.98
In: 0.7162 0.6067 0.9609  2 In 2.84, 1 Bi 2.98
In: 0.0223 0.3200 0.6355  1 In 2.93, 2 Bi 3.04
In: 0.9777 0.6800 0.3645  1 In 2.93, 2 Bi 3.04
Bi: 0.3772 0.9571 0.2884  3 In 2.98-3.04
Bi: 0.6228 0.0429 0.7116  3 In 2.98-3.04

=====

Relative to the most stable structure, the computed energies are w) 3.5; x) 0.0, all in kJ/mol of atoms.

=====

w) A relaxed structure of Rb2In2Bi, computed with GGA-PBE.

Calculated volume, Å³/atom: 39.5

Unit cell a=9.8675 b=9.8675 c=4.0609 alpha=90.00 beta=90.00 gamma=90.00
With the nearest neighbours (Å) after each atom.
Element x y z (fractional)
Bi: 0.0000 0.0000 0.0000  4 In 4.00, 2 Bi 4.06, 8 Rb 4.13
Bi: 0.5000 0.5000 0.0000  4 In 4.00, 2 Bi 4.06, 8 Rb 4.13
Rb: 0.1871 0.6871 0.5000  6 In 3.48-3.65
Rb: 0.6871 0.8129 0.5000  6 In 3.48-3.65
Rb: 0.8129 0.3129 0.5000  6 In 3.48-3.65
Rb: 0.3129 0.1871 0.5000  6 In 3.48-3.65
In: 0.3898 0.8898 0.0000  1 In 3.07
In: 0.8898 0.6102 0.0000  1 In 3.07
In: 0.6102 0.1102 0.0000  1 In 3.07
In: 0.1102 0.3898 0.0000  1 In 3.07

=====

x) A relaxed structure of Rb2In2Bi, computed with GGA-PBE.

Calculated volume, Å³/atom: 43.4

Unit cell a=7.9722 b=7.2766 c=9.4580 alpha=79.74 beta=71.02 gamma=56.78
With the nearest neighbours (Å) after each atom.
Element x y z (fractional)
Rb: 0.6032 0.3464 0.7104  5 In 3.73-4.12, 2 Bi 3.77-3.79
Rb: 0.3968 0.6536 0.2896  5 In 3.73-4.12, 2 Bi 3.77-3.79
Rb: 0.9495 0.6536 0.7104  5 In 3.73-4.12, 2 Bi 3.77-3.79
Rb: 0.0505 0.3464 0.2896  5 In 3.73-4.12, 2 Bi 3.77-3.79
In: 0.7786 0.0000 0.3361  1 In 2.91
In: 0.6182 0.0000 0.1001  2 In 2.91-3.07
In: 0.3818 0.0000 0.8999  2 In 2.91-3.07
In: 0.2214 0.0000 0.6639  1 In 2.91
Bi: 0.1268 0.7464 0.0000  1 Bi 3.09, 4 In 3.27-3.46
Bi: 0.8732 0.2536 0.0000  1 Bi 3.09, 4 In 3.27-3.46

=====

y) A relaxed structure of Rb2In2Bi, computed with GGA-PBE.

Calculated volume, Å³/atom: 39.8

Unit cell a=4.9622 b=4.9622 c=8.8019 alpha=73.63 beta=73.63 gamma=90.00
With the nearest neighbours (Å) after each atom.
Element x y z (fractional)
Bi: 0.0000 0.0000 0.0000  8 In 3.77
Rb: 0.7500 0.2500 0.5000  4 Rb 3.51, 4 In 3.63
Rb: 0.2500 0.7500 0.5000  4 Rb 3.51, 4 In 3.63
In: 0.4138 0.4138 0.1724  1 In 2.78
In: 0.5862 0.5862 0.8276  1 In 2.78

=====

Relative to the most stable structure, the computed energies are w) 19.7; x) 0.0; y) 26.0, all in kJ/mol of atoms.

=====

w) A relaxed structure of RbIn6Bi4, computed with GGA-PBE.

Calculated volume, Å³/atom: 36.0

Unit cell a=5.0117 b=5.0117 c=16.1385 alpha=98.93 beta=98.93 gamma=90.00
With the nearest neighbours (Å) after each atom.
Element x y z (fractional)
Rb: 0.0000 0.0000 0.0000  8 Bi 3.95
In: 0.7500 0.2500 0.5000  4 Bi 3.34, 4 In 3.54
In: 0.8833 0.3833 0.7667  4 Bi 3.16-3.20
In: 0.1167 0.6167 0.2333  4 Bi 3.16-3.20
In: 0.6167 0.1167 0.2333  4 Bi 3.16-3.20
In: 0.3833 0.8833 0.7667  4 Bi 3.16-3.20
In: 0.2500 0.7500 0.5000  4 Bi 3.34, 4 In 3.54
Bi: 0.4445 0.4445 0.8889  4 In 3.16, 1 Bi 3.50
Bi: 0.1797 0.1797 0.3594  8 In 3.20-3.34
Bi: 0.8203 0.8203 0.6406  8 In 3.20-3.34
Bi: 0.5555 0.5555 0.1111  4 In 3.16, 1 Bi 3.50

=====

x) A relaxed structure of RbIn6Bi4, computed with GGA-PBE.

Calculated volume, Å³/atom: 34.0

Unit cell a=5.1882 b=9.1288 c=9.1288 alpha=120.00 beta=90.00 gamma=90.00
With the nearest neighbours (Å) after each atom.
Element x y z (fractional)
Rb: 0.0000 0.0000 0.0000  6 Bi 4.10, 6 In 4.13
In: 0.0000 0.5365 0.0730  5 Bi 3.21-3.32, 2 In 3.56
In: 0.5000 0.5942 0.7971  4 Bi 3.19-3.31, 2 In 3.57
In: 0.0000 0.5365 0.4635  5 Bi 3.21-3.32, 2 In 3.56
In: 0.0000 0.9270 0.4635  5 Bi 3.21-3.32, 2 In 3.56
In: 0.5000 0.2029 0.7971  4 Bi 3.19-3.31, 2 In 3.57
In: 0.5000 0.2029 0.4058  4 Bi 3.19-3.31, 2 In 3.57
Bi: 0.5000 0.7988 0.5977  6 In 3.19-3.32
Bi: 0.5000 0.4023 0.2012  6 In 3.19-3.32
Bi: 0.5000 0.7988 0.2012  6 In 3.19-3.32
Bi: 0.0000 0.3333 0.6667  9 In 3.21-3.31

=====

Relative to the most stable structure, the computed energies are w) 0.0; x) 1.0, all in kJ/mol of atoms.

=====

w) A relaxed structure of Rb3InBi, computed with GGA-PBE.

Calculated volume, Å³/atom: 73.4

Unit cell a=7.1597 b=7.1597 c=7.1597 alpha=90.00 beta=90.00 gamma=90.00
With the nearest neighbours (Å) after each atom.
Element x y z (fractional)
Bi: 0.0000 0.0000 0.0000  6 Rb 3.58
Rb: 0.0000 0.5000 0.0000  2 Bi 3.58
Rb: 0.0000 0.0000 0.5000  2 Bi 3.58
Rb: 0.5000 0.0000 0.0000  2 Bi 3.58
In: 0.5000 0.5000 0.5000  12 Rb 5.06

=====

x) A relaxed structure of Rb3InBi, computed with GGA-PBE.

Calculated volume, Å³/atom: 53.7

Unit cell a=9.0861 b=9.0861 c=9.0861 alpha=93.17 beta=123.98 gamma=112.70
With the nearest neighbours (Å) after each atom.
Element x y z (fractional)
Rb: 0.9513 0.1810 0.7026  2 Bi 3.79-4.03, 2 In 4.10-4.16, 2 Rb 4.12-4.21
Rb: 0.9513 0.7487 0.2703  2 Bi 3.79-4.03, 2 In 4.10-4.16, 2 Rb 4.12-4.21
Rb: 0.4784 0.6810 0.7297  2 Bi 3.79-4.03, 2 In 4.10-4.16, 2 Rb 4.12-4.21
Rb: 0.9840 0.2376 0.2464  2 Bi 3.57-3.70, 2 In 3.66-3.96
Rb: 0.4784 0.2487 0.2974  2 Bi 3.79-4.03, 2 In 4.10-4.16, 2 Rb 4.12-4.21
Rb: 0.9912 0.7376 0.7536  2 Bi 3.57-3.70, 2 In 3.66-3.96
In: 0.4108 0.0975 0.8133  1 Bi 3.00
In: 0.2843 0.5975 0.1867  1 Bi 3.00
Bi: 0.5392 0.8935 0.1458  1 In 3.00
Bi: 0.7477 0.3935 0.8542  1 In 3.00

=====

Relative to the most stable structure, the computed energies are w) 26.8; x) 0.0, all in kJ/mol of atoms.

=====

w) A relaxed structure of RbIn4Bi2, computed with GGA-PBE.

Calculated volume, Å³/atom: 34.3

Unit cell a=5.2200 b=9.5887 c=9.5887 alpha=90.00 beta=90.00 gamma=90.00
With the nearest neighbours (Å) after each atom.
Element x y z (fractional)
Rb: 0.5000 0.0000 0.0000  6 Bi 3.81-3.95, 4 In 4.18
Rb: 0.0000 0.5000 0.5000  6 Bi 3.81-3.95, 4 In 4.18
In: 0.0000 0.0882 0.3562  3 Bi 3.23-3.28, 5 In 3.23-3.47
In: 0.0000 0.9118 0.6438  3 Bi 3.23-3.28, 5 In 3.23-3.47
In: 0.5000 0.1438 0.5882  3 Bi 3.23-3.28, 5 In 3.23-3.47
In: 0.5000 0.8562 0.4118  3 Bi 3.23-3.28, 5 In 3.23-3.47
In: 0.5000 0.4118 0.8562  3 Bi 3.23-3.28, 5 In 3.23-3.47
In: 0.5000 0.5882 0.1438  3 Bi 3.23-3.28, 5 In 3.23-3.47
In: 0.0000 0.3562 0.0882  3 Bi 3.23-3.28, 5 In 3.23-3.47
In: 0.0000 0.6438 0.9118  3 Bi 3.23-3.28, 5 In 3.23-3.47
Bi: 0.0000 0.2189 0.7811  6 In 3.23-3.28
Bi: 0.0000 0.7811 0.2189  6 In 3.23-3.28
Bi: 0.5000 0.7189 0.7189  6 In 3.23-3.28
Bi: 0.5000 0.2811 0.2811  6 In 3.23-3.28

=====

x) A relaxed structure of RbIn4Bi2, computed with GGA-PBE.

Calculated volume, Å³/atom: 36.6

Unit cell a=5.5522 b=4.8847 c=11.5316 alpha=94.52 beta=90.00 gamma=55.42
With the nearest neighbours (Å) after each atom.
Element x y z (fractional)
Rb: 0.0000 0.0000 0.0000  6 Bi 3.83-3.89, 2 In 4.09
In: 0.3207 0.3572 0.7027  3 Bi 3.02-3.15, 1 In 3.02
In: 0.1805 0.6393 0.4688  4 In 2.92-3.10, 1 Bi 3.04
In: 0.6793 0.6428 0.2973  3 Bi 3.02-3.15, 1 In 3.02
In: 0.8195 0.3607 0.5312  4 In 2.92-3.10, 1 Bi 3.04
Bi: 0.6665 0.6655 0.7831  4 In 3.02-3.15
Bi: 0.3335 0.3345 0.2169  4 In 3.02-3.15

=====

Relative to the most stable structure, the computed energies are w) 0.0; x) 2.9, all in kJ/mol of atoms.

=====

w) A relaxed structure of RbTlInBi2, computed with GGA-PBE.

Calculated volume, Å³/atom: 38.8

Unit cell a=5.3148 b=5.3148 c=7.8267 alpha=109.85 beta=109.85 gamma=90.00
With the nearest neighbours (Å) after each atom.
Element x y z (fractional)
Rb: 0.0000 0.0000 0.0000  8 Bi 4.12, 4 Tl 4.34, 4 In 4.34
Tl: 0.2500 0.7500 0.5000  4 Bi 3.18
In: 0.7500 0.2500 0.5000  4 Bi 3.18
Bi: 0.6222 0.6222 0.2444  2 In 3.18, 2 Tl 3.18, 1 Bi 3.36
Bi: 0.3778 0.3778 0.7556  2 Tl 3.18, 2 In 3.18, 1 Bi 3.36

=====

x) A relaxed structure of RbTlInBi2, computed with GGA-PBE.

Calculated volume, Å³/atom: 49.7

Unit cell a=6.3078 b=6.2495 c=6.3078 alpha=90.00 beta=90.00 gamma=90.00
With the nearest neighbours (Å) after each atom.
Element x y z (fractional)
Tl: 0.5000 0.5000 0.5000  8 Bi 4.44, 4 In 4.46
Bi: 0.0000 0.0000 0.5000  2 Rb 3.15
Bi: 0.5000 0.0000 0.0000  2 Rb 3.15
Rb: 0.0000 0.0000 0.0000  2 In 3.12, 4 Bi 3.15
In: 0.0000 0.5000 0.0000  2 Rb 3.12

=====

Relative to the most stable structure, the computed energies are w) 0.0; x) 99.8, all in kJ/mol of atoms.

=====

w) A relaxed structure of InRe2Bi2, computed with GGA-PBE.

Calculated volume, Å³/atom: 22.2

Unit cell a=8.4823 b=8.4823 c=3.0885 alpha=90.00 beta=90.00 gamma=90.00
With the nearest neighbours (Å) after each atom.
Element x y z (fractional)
Re: 0.1400 0.6400 0.5000  6 Bi 2.90-2.96, 2 Re 3.09
Re: 0.6400 0.8600 0.5000  6 Bi 2.90-2.96, 2 Re 3.09
Re: 0.8600 0.3600 0.5000  6 Bi 2.90-2.96, 2 Re 3.09
Re: 0.3600 0.1400 0.5000  6 Bi 2.90-2.96, 2 Re 3.09
Bi: 0.3509 0.8509 0.0000  6 Re 2.90-2.96, 2 Bi 3.09, 2 In 3.23
Bi: 0.8509 0.6491 0.0000  6 Re 2.90-2.96, 2 Bi 3.09, 2 In 3.23
Bi: 0.6491 0.1491 0.0000  6 Re 2.90-2.96, 2 Bi 3.09, 2 In 3.23
Bi: 0.1491 0.3509 0.0000  6 Re 2.90-2.96, 2 Bi 3.09, 2 In 3.23
In: 0.0000 0.0000 0.0000  2 In 3.09, 4 Bi 3.23
In: 0.5000 0.5000 0.0000  2 In 3.09, 4 Bi 3.23

=====

x) A relaxed structure of InRe2Bi2, computed with GGA-PBE.

Calculated volume, Å³/atom: 26.0

Unit cell a=3.6405 b=3.6405 c=10.1427 alpha=79.66 beta=79.66 gamma=90.00
With the nearest neighbours (Å) after each atom.
Element x y z (fractional)
Re: 0.7500 0.2500 0.5000  4 Re 2.57
Re: 0.2500 0.7500 0.5000  4 Re 2.57
Bi: 0.3704 0.3704 0.2592  4 Re 2.98
Bi: 0.6296 0.6296 0.7408  4 Re 2.98
In: 0.0000 0.0000 0.0000  8 Bi 3.62, 4 In 3.64

=====

Relative to the most stable structure, the computed energies are w) 58.0; x) 0.0, all in kJ/mol of atoms.